Computed, not measured: a relaxed structure of NiBrN2F at the GGA+U level of DFT.

Cell lengths 3.926, 3.926, 4.234 Å; angles 90.00, 90.00, 90.00 degrees
Positions (direct):
1 Ni 0.000 0.000 0.000
2 Br 0.500 0.500 0.500
3 N 0.000 0.500 0.500
4 N 0.500 0.000 0.500
5 F 0.500 0.500 0.000

Properties
Crystal system ... tetragonal
Energy ... -2.669 eV/atom
Size of the total moment ... 0.406 μB/atom
SG ... P4/mmm, No. 123